(1)
A geometry-optimized PuAgPdPb structure, computed with PBE.

Calculated values
Magnetization = 5.4 μB per formula unit
ΔH_f (0 K) = -0.16 eV/atom
Space group = No. 216

```
PuAgPdPb
1.0
0.0000 3.5415 3.5415
3.5415 0.0000 3.5415
3.5415 3.5415 0.0000
Pu Ag Pd Pb
1 1 1 1
Direct
0.0000 0.0000 0.0000 Pu
0.7500 0.7500 0.7500 Ag
0.2500 0.2500 0.2500 Pd
0.5000 0.5000 0.5000 Pb
```

=====

(2)
A geometry-optimized Pr5HoMg6 structure, computed with PBE.

Calculated values
Magnetization = 0.0 μB per formula unit
ΔH_f (0 K) = -0.11 eV/atom
Space group = No. 65

```
Pr5HoMg6
1.0
2.7469 -8.2517 0.0000
2.7469 8.2517 0.0000
0.0000 0.0000 7.7955
Pr Ho Mg
5 1 6
Direct
0.0000 0.0000 0.0000 Pr
0.3315 0.6685 0.0000 Pr
0.3355 0.6645 0.5000 Pr
0.6645 0.3355 0.5000 Pr
0.6685 0.3315 0.0000 Pr
0.0000 0.0000 0.5000 Ho
0.1644 0.8356 0.2551 Mg
0.1644 0.8356 0.7449 Mg
0.5000 0.5000 0.2539 Mg
0.5000 0.5000 0.7461 Mg
0.8356 0.1644 0.2551 Mg
0.8356 0.1644 0.7449 Mg
```

=====

(3)
A geometry-optimized CaV2W structure, computed with PBE.

Calculated values
Magnetization = 2.5 μB per formula unit
ΔH_f (0 K) = 0.75 eV/atom
Space group = No. 225

```
CaV2W
1.0
0.0000 3.2583 3.2583
3.2583 0.0000 3.2583
3.2583 3.2583 0.0000
Ca V W
1 2 1
Direct
0.0000 0.0000 0.0000 Ca
0.2500 0.2500 0.2500 V
0.7500 0.7500 0.7500 V
0.5000 0.5000 0.5000 W
```

=====

(4)
A geometry-optimized ScBSbI2 structure, computed with PBE.

Calculated values
Raw formation energy = 705 meV per atom
Magnetization = 0.0 μB per formula unit
Space group = No. 123

```
ScBSbI2
1.0
5.6112 0.0000 0.0000
0.0000 5.6112 0.0000
0.0000 0.0000 5.7717
Sc B Sb I
1 1 1 2
Direct
0.0000 0.0000 0.0000 Sc
0.5000 0.5000 0.5000 B
0.0000 0.0000 0.5000 Sb
0.0000 0.5000 0.0000 I
0.5000 0.0000 0.0000 I
```

=====

(5)
A geometry-optimized TmCuSi2Rh structure, computed with PBE.

Calculated values
Raw formation energy = -795 meV per atom
Magnetization = 0.0 μB per formula unit
Space group = No. 119

```
TmCuSi2Rh
1.0
-2.0069 2.0069 4.9586
2.0069 -2.0069 4.9586
2.0069 2.0069 -4.9586
Tm Cu Si Rh
1 1 2 1
Direct
0.0000 0.0000 0.0000 Tm
0.2500 0.7500 0.5000 Cu
0.3821 0.3821 0.0000 Si
0.6179 0.6179 0.0000 Si
0.7500 0.2500 0.5000 Rh
```

=====

(6)
A geometry-optimized PaCoSi2Pt2 structure, computed with PBE.

Calculated values
Raw formation energy = -555 meV per atom
Magnetization = 0.0 μB per formula unit
Space group = No. 139

```
PaCoSi2Pt2
1.0
-1.9193 1.9193 7.3534
1.9193 -1.9193 7.3534
1.9193 1.9193 -7.3534
Pa Co Si Pt
1 1 2 2
Direct
0.0000 0.0000 0.0000 Pa
0.5000 0.5000 0.0000 Co
0.3523 0.3523 0.0000 Si
0.6477 0.6477 0.0000 Si
0.2500 0.7500 0.5000 Pt
0.7500 0.2500 0.5000 Pt
```

=====

no.,E (eV for the cell shown)
1,-26.71
2,-39.34
3,-30.19
4,-16.71
5,-30.74
6,-42.86